Entry 1:
Computed, not measured: a crystal of CsCa3Cl relaxed with PBEsol at the meta-GGA SCAN level of DFT.

Cell and atoms, written as extended XYZ:
```
5
Lattice="6.057 0.000 0.000 0.000 6.057 0.000 0.000 0.000 6.057" Properties=species:S:1:pos:R:3 pbc="T T T"
Cs 0.000 0.000 0.000
Ca 0.000 3.028 3.028
Ca 3.028 0.000 3.028
Ca 3.028 3.028 0.000
Cl 3.028 3.028 3.028
```

Calculated values
* energy: -15.2669 eV/atom
* DOS(E_F): 4.2 states/eV/f.u.

Entry 2:
Computed, not measured: a crystal of SbTe2PdBr relaxed with PBEsol at the meta-GGA SCAN level of DFT.

Cell and atoms, written as extended XYZ:
```
5
Lattice="5.185 0.000 0.000 0.000 5.185 0.000 0.000 0.000 5.290" Properties=species:S:1:pos:R:3 pbc="T T T"
Sb 0.000 0.000 0.000
Te 0.000 2.592 2.645
Te 2.592 0.000 2.645
Pd 0.000 0.000 2.645
Br 2.592 2.592 0.000
```

Calculated values
* energy: -32.4951 eV/atom
* DOS(E_F): 7.2 states/eV/f.u.

Entry 3:
Computed, not measured: a crystal of BaZrAl2 relaxed with PBEsol at the meta-GGA SCAN level of DFT.

Cell and atoms, written as extended XYZ:
```
4
Lattice="3.232 0.000 0.000 0.000 3.232 0.000 0.000 0.000 9.042" Properties=species:S:1:pos:R:3 pbc="T T T"
Ba 0.000 0.000 0.000
Zr 0.000 0.000 4.521
Al 1.616 1.616 2.641
Al 1.616 1.616 6.402
```

Calculated values
* DFT formation energy: -0.1166 eV per atom
* DOS(E_F): 2.3 states/eV/f.u.

Entry 4:
Computed, not measured: a crystal of BaMo4As relaxed with PBEsol at the meta-GGA SCAN level of DFT.

Cell and atoms, written as extended XYZ:
```
6
Lattice="0.000 3.842 3.842 3.842 0.000 3.842 3.842 3.842 0.000" Properties=species:S:1:pos:R:3 pbc="T T T"
Ba 0.000 0.000 0.000
Mo 2.911 2.911 2.911
Mo 4.772 4.772 2.911
Mo 4.772 2.911 4.772
Mo 2.911 4.772 4.772
As 5.763 5.763 5.763
```

Calculated values
* DFT formation energy: 0.9922 eV per atom
* DOS(E_F): 6.2 states/eV/f.u.

Entry 5:
Computed, not measured: a crystal of Y2FeTc relaxed with PBEsol at the meta-GGA SCAN level of DFT.

Cell and atoms, written as extended XYZ:
```
8
Lattice="3.858 0.000 0.000 0.000 4.369 0.000 0.000 0.000 10.028" Properties=species:S:1:pos:R:3 pbc="T T T"
Y 0.000 0.000 0.000
Y 0.000 2.185 5.014
Y 1.929 0.000 2.935
Y 1.929 2.185 7.949
Fe 0.000 0.000 7.045
Fe 0.000 2.185 2.031
Tc 1.929 0.000 5.981
Tc 1.929 2.185 0.967
```

Calculated values
* DFT formation energy: 0.0358 eV per atom
* DOS(E_F): 3.3 states/eV/f.u.

Entry 6:
Computed, not measured: a crystal of TaAs2PdBr relaxed with PBEsol at the meta-GGA SCAN level of DFT.

Cell and atoms, written as extended XYZ:
```
5
Lattice="4.749 0.000 0.000 0.000 4.749 0.000 0.000 0.000 4.827" Properties=species:S:1:pos:R:3 pbc="T T T"
Ta 0.000 0.000 0.000
As 0.000 2.375 2.413
As 2.375 0.000 2.413
Pd 2.375 2.375 2.413
Br 2.375 2.375 0.000
```

Calculated values
* energy: -30.8071 eV/atom
* DOS(E_F): 3.3 states/eV/f.u.